A plane-wave DFT calculation with PBE was carried out for a geometry-optimized Ce2ThFe structure.

Properties
The value obtained for the energy of formation from the pure elements is -0.0710 eV per atom. Its symmetry is Pnma. The value obtained for the size of the total moment is 0.00 μB/cell. The total DFT energy (no corrections) is -7.0086 eV per atom. As for the excess energy over the best structure of this formula in the dataset: 0.0 meV per atom. The density of states at the Fermi level comes out at 28.81 states/eV/cell.

a b c (Å): 6.1381 6.7430 9.4330
angles (deg): 90.00 90.00 90.00
Fractional positions:
Th (0.3718, 0.4391, 0.7500)
Ce (0.8685, 0.3413, 0.9334)
Ce (0.3685, 0.1587, 0.0666)
Fe (0.6094, 0.0783, 0.7500)
Th (0.6282, 0.5609, 0.2500)
Ce (0.1315, 0.6587, 0.4334)
Ce (0.6315, 0.8413, 0.5666)
Th (0.1282, 0.9391, 0.7500)
Fe (0.1094, 0.4217, 0.2500)
Th (0.8718, 0.0609, 0.2500)
Fe (0.8906, 0.5783, 0.7500)
Fe (0.3906, 0.9217, 0.2500)
Ce (0.6315, 0.8413, 0.9334)
Ce (0.8685, 0.3413, 0.5666)
Ce (0.3685, 0.1587, 0.4334)
Ce (0.1315, 0.6587, 0.0666)